DFT (GGA-PBE) results for Sm3PSe2 after structural relaxation.

Summary:
* polymorph energy (0 for the lowest one): 0 meV per atom
* space group: Immm
* uncorrected energy: -6.23 eV per atom

Cell lengths 7.2466, 7.2466, 7.2466 Å; angles 146.96, 132.36, 59.19 degrees
Element x y z (fractional)
Sm  0.6531  0.1531  0.5000
Se  0.1699  0.1699  0.0000
P  0.5000  0.5000  0.0000
Sm  0.0000  0.5000  0.5000
Sm  0.3469  0.8469  0.5000
Se  0.8301  0.8301  0.0000

DFT (GGA-PBE) results for Nb2Si3Ni2 after structural relaxation.

Summary:
* polymorph energy (0 for the lowest one): 0 meV per atom
* space group: I4/mmm
* uncorrected energy: -7.37 eV per atom

Cell lengths 9.0821, 9.0821, 9.0821 Å; angles 94.38, 94.38, 147.92 degrees
Element x y z (fractional)
Si  0.0000  0.7070  0.7070
Si  0.7112  0.7112  0.4223
Si  0.7112  0.2888  0.0000
Si  0.2930  0.0000  0.2930
Nb  0.3080  0.5000  0.8080
Si  0.2888  0.7112  0.0000
Nb  0.8651  0.8651  0.7303
Si  0.2551  0.2551  0.0000
Ni  0.8917  0.1083  0.5000
Si  0.5000  0.0000  0.5000
Ni  0.3917  0.6083  0.5000
Si  0.7070  0.0000  0.7070
Nb  0.1349  0.1349  0.2697
Ni  0.1083  0.8917  0.5000
Ni  0.6083  0.3917  0.5000
Nb  0.1349  0.8651  0.0000
Si  0.7449  0.7449  0.0000
Ni  0.8917  0.3917  0.7834
Nb  0.8651  0.1349  0.0000
Nb  0.5000  0.6920  0.1920
Si  0.0000  0.2930  0.2930
Nb  0.5000  0.3080  0.8080
Ni  0.1083  0.6083  0.2166
Si  0.0000  0.5000  0.5000
Nb  0.6920  0.5000  0.1920
Ni  0.3917  0.8917  0.7834
Ni  0.6083  0.1083  0.2166
Si  0.2888  0.2888  0.5777

DFT (GGA-PBE) results for CoBiIrOs after structural relaxation.

Summary:
* polymorph energy (0 for the lowest one): 0 meV per atom
* space group: F-43m
* uncorrected energy: -7.07 eV per atom

Cell lengths 4.5139, 4.5139, 4.5139 Å; angles 60.00, 60.00, 60.00 degrees
Element x y z (fractional)
Ir  0.5000  0.5000  0.5000
Bi  0.0000  0.0000  0.0000
Co  0.7500  0.7500  0.7500
Os  0.2500  0.2500  0.2500

DFT (GGA-PBE) results for RbLiNpTe3 after structural relaxation.

Summary:
* space group: Cmcm
* uncorrected energy: -5.08 eV per atom

Cell lengths 8.1789, 8.1789, 11.6760 Å; angles 90.00, 90.00, 147.88 degrees
Each line ends with the local moment (μB).
Element x y z (fractional)
Te  0.0580  0.9420  0.7500  -0.12
Te  0.3733  0.6267  0.5475  -0.13
Li  0.4608  0.5392  0.7500  0.00
Np  0.0000  0.0000  0.0000  3.53
Te  0.6267  0.3733  0.0475  -0.13
Te  0.3733  0.6267  0.9525  -0.13
Li  0.5392  0.4608  0.2500  0.00
Te  0.9420  0.0580  0.2500  -0.12
Np  0.0000  0.0000  0.5000  3.53
Rb  0.7442  0.2558  0.7500  0.00
Te  0.6267  0.3733  0.4525  -0.13
Rb  0.2558  0.7442  0.2500  0.00

DFT (GGA-PBE) results for BaAl2ZnPt after structural relaxation.

Summary:
* space group: I4mm
* uncorrected energy: -3.91 eV per atom

Cell lengths 6.4993, 6.4993, 6.4993 Å; angles 140.34, 140.34, 57.33 degrees
Element x y z (fractional)
Zn  0.6137  0.6137  0.0000
Al  0.7565  0.2565  0.5000
Pt  0.3685  0.3685  0.0000
Ba  0.0048  0.0048  0.0000
Al  0.2565  0.7565  0.5000

DFT (GGA-PBE) results for CoMo4C3 after structural relaxation.

Summary:
* space group: P6_3/mmc
* uncorrected energy: -9.59 eV per atom

Cell lengths 3.0764, 3.0764, 22.5957 Å; angles 90.00, 90.00, 120.00 degrees
Each line ends with the local moment (μB).
Element x y z (fractional)
Mo  0.0000  0.0000  0.6623  0.01
C  0.0000  0.0000  0.0000  0.00
Mo  0.3333  0.6667  0.4408  -0.05
Co  0.6667  0.3333  0.7500  0.93
Mo  0.0000  0.0000  0.8377  0.01
C  0.3333  0.6667  0.6153  0.00
Mo  0.6667  0.3333  0.9408  -0.05
C  0.6667  0.3333  0.1153  0.00
Mo  0.0000  0.0000  0.1623  0.01
Co  0.3333  0.6667  0.2500  0.93
Mo  0.0000  0.0000  0.3377  0.01
Mo  0.3333  0.6667  0.0592  -0.05
C  0.6667  0.3333  0.3847  0.00
Mo  0.6667  0.3333  0.5592  -0.05
C  0.0000  0.0000  0.5000  0.00
C  0.3333  0.6667  0.8847  0.00

no.,M_tot (μB per formula unit),theoretical density (g/cm³)
1,0.01,6.99
2,0.01,6.73
3,2.22,16.61
4,3.01,5.70
5,0.00,6.77
6,0.73,8.58